The following is a PBE-GGA calculation of Pu2BeAs4Pd3 after structural relaxation, from Alexandria via LeMat-Bulk.

Cell and atoms, written as CIF:
```
data_Pu2BeAs4Pd3
_cell_length_a 4.1357
_cell_length_b 4.1357
_cell_length_c 10.9578
_cell_angle_alpha 90.00
_cell_angle_beta 90.00
_cell_angle_gamma 90.00
_symmetry_space_group_name_H-M 'P -4 m 2'
_symmetry_Int_Tables_number 115
_symmetry_space_group_name_Hall 'P -4 -2'
loop_
_atom_site_label
_atom_site_type_symbol
_atom_site_fract_x
_atom_site_fract_y
_atom_site_fract_z
Pu1 Pu 0.0000 0.5000 0.2369
Be1 Be 0.5000 0.5000 0.0000
As1 As 0.0000 0.0000 0.5000
As2 As 0.0000 0.5000 0.8677
As3 As 0.5000 0.5000 0.5000
Pd1 Pd 0.0000 0.0000 0.0000
Pd2 Pd 0.0000 0.5000 0.6416
```

Values from the calculation:
energy of formation	-0.522	eV per atom
DOS(E_F)	28.06	states/eV/f.u.
E_tot	-7.18	eV per atom